Record 1
PBE YSbO3, relaxed; formation energy without anion corrections = -2274 meV per atom; density = 5.164 g/cm³; SG = P6_3cm; M_tot = 0.0 μB per cell
1.0
-6.378 0.486 -0.043
3.021 -1.973 5.281
0.987 13.337 4.418
O Sb Y
18 6 6
Direct
0.333 0.667 0.501
0.612 0.000 0.346
0.333 0.667 0.001
0.678 0.678 0.200
0.678 0.000 0.700
0.000 0.612 0.346
0.322 0.322 0.700
0.000 0.000 0.924
0.388 0.000 0.846
0.667 0.333 0.001
0.000 0.322 0.200
0.000 0.388 0.846
0.667 0.333 0.501
0.000 0.678 0.700
0.388 0.388 0.346
0.322 0.000 0.200
0.000 0.000 0.424
0.612 0.612 0.846
0.676 0.000 0.483
0.324 0.000 0.983
0.000 0.676 0.483
0.676 0.676 0.983
0.324 0.324 0.483
0.000 0.324 0.983
0.667 0.333 0.751
0.333 0.667 0.751
0.000 0.000 0.759
0.333 0.667 0.251
0.667 0.333 0.251
0.000 0.000 0.259

***

Record 2
PBE Ba4GeI2Cl, relaxed; formation energy without anion corrections = -1353 meV per atom; density = 4.542 g/cm³; SG = P2/m; M_tot = 0.0 μB per cell
1.0
4.886 0.000 0.000
0.000 8.223 0.089
0.000 -2.931 8.259
I Ba Cl Ge
2 4 1 1
Direct
0.500 0.000 0.500
0.000 0.500 0.500
0.000 0.730 0.213
0.500 0.252 0.216
0.500 0.748 0.784
0.000 0.270 0.787
0.000 0.000 0.000
0.500 0.500 0.000

***

Number 1: electronic total energy -221.0 eV per cell. Number 2: electronic total energy -28.1 eV per cell.